Entry 1:
Here is a relaxed Nd5N4F crystal from the Alexandria database. Energies are from PBE.

Formation energy (no corrections): -1673.2 meV/atom
Volume: 172.6 Å³ per cell
E: -0.5567 Ry/atom
Space-group type: C2/m (12)

Lattice parameters (Å, degrees): 3.6424 6.3241 8.1888 75.61 77.15 73.26
Last column: nearest neighbours and their distance in Å.
Sites, in units of the cell vectors:
N  0.1995  0.4087  0.1923  6 Nd 2.43-2.65
Nd  0.2074  0.8993  0.6859  5 N 2.46-2.65, 1 F 2.70
Nd  0.0000  0.5000  0.5000  6 N 2.61-2.62
Nd  0.6061  0.6737  0.1141  4 N 2.43-2.59, 2 F 2.71
Nd  0.7926  0.1007  0.3141  5 N 2.46-2.65, 1 F 2.70
N  0.3971  0.8067  0.3991  6 Nd 2.46-2.61
Nd  0.3939  0.3263  0.8859  4 N 2.43-2.59, 2 F 2.71
F  0.0000  0.0000  0.0000  6 Nd 2.70-2.71
N  0.8005  0.5913  0.8077  6 Nd 2.43-2.65
N  0.6029  0.1933  0.6009  6 Nd 2.46-2.61


Entry 2:
Here is a relaxed Rb5Na6Cd crystal from the Alexandria database. Energies are from PBE.

Volume: 685.0 Å³ per cell
ΔE_f: 0.05 eV/atom
E: -0.0802 Ry/atom
Space-group type: C2/m (12)

Lattice parameters (Å, degrees): 10.6492 7.8141 9.9774 66.95 80.01 63.72
Last column: nearest neighbours and their distance in Å.
Sites, in units of the cell vectors:
Cd  0.0000  0.0000  0.0000  6 Na 3.29-3.40
Na  0.2930  0.0695  0.0000  1 Cd 3.40, 2 Na 3.69
Na  0.8193  0.2918  0.6965  1 Cd 3.29, 1 Na 3.48
Na  0.1807  0.7082  0.3035  1 Cd 3.29, 1 Na 3.48
Rb  0.5000  0.5000  0.0000  6 Na 4.00-4.33
Na  0.1807  0.0117  0.6965  1 Cd 3.29, 1 Na 3.48
Rb  0.5000  0.8028  0.3944  6 Na 4.09-4.32, 2 Rb 4.36
Na  0.8193  0.9883  0.3035  1 Cd 3.29, 1 Na 3.48
Rb  0.0000  0.6292  0.7416  8 Na 4.07-4.51
Rb  0.0000  0.3708  0.2584  8 Na 4.07-4.51
Rb  0.5000  0.1972  0.6056  6 Na 4.09-4.32, 2 Rb 4.36
Na  0.7070  0.9305  0.0000  1 Cd 3.40, 2 Na 3.69


Entry 3:
Here is a relaxed SmEr2ThSc crystal from the Alexandria database. Energies are from PBE.

Volume: 306.5 Å³ per cell
ΔE_f: 0.05 eV/atom
E: -0.4023 Ry/atom
Space-group type: P2_1/m (11)

Lattice parameters (Å, degrees): 5.6454 9.3397 6.1506 109.05 90.00 90.00
Last column: nearest neighbours and their distance in Å.
Sites, in units of the cell vectors:
Er  0.7500  0.8969  0.5382  4 Er 3.46-3.64, 4 Th 3.49-3.61, 3 Sm 3.51-3.62, 1 Sc 3.57
Sm  0.2500  0.6926  0.2642  4 Sc 3.43-3.54, 6 Er 3.43-3.62, 2 Th 3.56-3.62
Er  0.2500  0.3035  0.0775  3 Sm 3.43-3.53, 4 Sc 3.44-3.65, 2 Er 3.46-3.64, 3 Th 3.48-3.54
Er  0.7500  0.6965  0.9225  3 Sm 3.43-3.53, 4 Sc 3.44-3.65, 2 Er 3.46-3.64, 3 Th 3.48-3.54
Th  0.7500  0.0979  0.1266  2 Th 3.45, 7 Er 3.48-3.61, 1 Sc 3.49, 2 Sm 3.56-3.62
Sc  0.2500  0.5074  0.6624  4 Sm 3.43-3.54, 2 Sc 3.43, 5 Er 3.44-3.65, 1 Th 3.49
Th  0.2500  0.9021  0.8734  2 Th 3.45, 7 Er 3.48-3.61, 1 Sc 3.49, 2 Sm 3.56-3.62
Sm  0.7500  0.3074  0.7358  4 Sc 3.43-3.54, 6 Er 3.43-3.62, 2 Th 3.56-3.62
Sc  0.7500  0.4926  0.3376  4 Sm 3.43-3.54, 2 Sc 3.43, 5 Er 3.44-3.65, 1 Th 3.49
Er  0.2500  0.1031  0.4618  4 Er 3.46-3.64, 4 Th 3.49-3.61, 3 Sm 3.51-3.62, 1 Sc 3.57